# 1
DFT (PBE) results for crystalline Zn2Ga3 at its relaxed geometry.

a b c (Å): 6.1823 6.1823 6.8737
angles (deg): 63.28 63.28 60.00
Element x y z (fractional)
Ga 0.2500 0.6448 0.2500
Ga 0.7500 0.3552 0.7500
Ga 0.1448 0.7500 0.7500
Ga 0.3552 0.1448 0.7500
Ga 0.8552 0.2500 0.2500
Ga 0.6448 0.8552 0.2500
Zn 0.3199 0.3199 0.0403
Zn 0.1801 0.1801 0.4597
Zn 0.6801 0.6801 0.9597
Zn 0.8199 0.8199 0.5403

Results
The calculation puts the density of states at the Fermi level at 0.278 states/eV per atom. The electronic total energy comes out at -0.0806 hartree per atom. The formation energy is 131 meV per atom. As for the volume: 194.4 Å³/cell.

---

# 2
DFT (PBE) results for crystalline ZnGa at its relaxed geometry.

a b c (Å): 4.3635 4.4689 11.2384
angles (deg): 90.00 90.00 90.00
Element x y z (fractional)
Zn 0.0000 0.7110 0.6374
Zn 0.5000 0.2890 0.8626
Zn 0.0000 0.3947 0.0000
Zn 0.5000 0.2890 0.1374
Zn 0.0000 0.7110 0.3626
Zn 0.5000 0.6053 0.5000
Ga 0.0000 0.9051 0.1495
Ga 0.5000 0.0949 0.6495
Ga 0.5000 0.7745 0.0000
Ga 0.0000 0.2255 0.5000
Ga 0.5000 0.0949 0.3505
Ga 0.0000 0.9051 0.8505

Results
The calculation puts the density of states at the Fermi level at 0.161 states/eV per atom. The electronic total energy comes out at -0.0768 hartree per atom. The formation energy is 60 meV per atom. As for the volume: 219.1 Å³/cell.

---

# 3
DFT (PBE) results for crystalline ZnGa at its relaxed geometry.

a b c (Å): 2.5032 4.1900 4.1900
angles (deg): 119.85 90.00 90.00
Element x y z (fractional)
Zn 0.0000 0.1394 0.8606
Ga 0.5000 0.4734 0.5266

Results
The calculation puts the density of states at the Fermi level at 0.369 states/eV per atom. The electronic total energy comes out at -0.0768 hartree per atom. The formation energy is 61 meV per atom. As for the volume: 38.1 Å³/cell.

---

# 4
DFT (PBE) results for crystalline Zn5Ga6 at its relaxed geometry.

a b c (Å): 6.2384 6.0156 6.3810
angles (deg): 81.74 73.91 58.77
Element x y z (fractional)
Ga 0.9654 0.7280 0.1930
Ga 0.0346 0.2720 0.8070
Ga 0.8315 0.0000 0.7062
Ga 0.3065 0.7280 0.8070
Ga 0.6935 0.2720 0.1930
Ga 0.1685 0.0000 0.2938
Zn 0.7586 0.4827 0.5000
Zn 0.3668 0.2665 0.0000
Zn 0.5000 0.0000 0.5000
Zn 0.6332 0.7335 0.0000
Zn 0.2414 0.5173 0.5000

Results
The calculation puts the density of states at the Fermi level at 0.286 states/eV per atom. The electronic total energy comes out at -0.0793 hartree per atom. The formation energy is 71 meV per atom. As for the volume: 196.7 Å³/cell.

---

# 5
DFT (PBE) results for crystalline Zn5Ga3 at its relaxed geometry.

a b c (Å): 2.8575 2.8575 15.9945
angles (deg): 90.00 90.00 90.00
Element x y z (fractional)
Zn 0.0000 0.0000 0.2540
Zn 0.0000 0.0000 0.0000
Zn 0.5000 0.5000 0.6282
Zn 0.0000 0.0000 0.7460
Zn 0.5000 0.5000 0.3718
Ga 0.5000 0.5000 0.8716
Ga 0.5000 0.5000 0.1284
Ga 0.0000 0.0000 0.5000

Results
The calculation puts the density of states at the Fermi level at 0.269 states/eV per atom. The electronic total energy comes out at -0.0698 hartree per atom. The formation energy is 32 meV per atom. As for the volume: 130.6 Å³/cell.

---

# 6
DFT (PBE) results for crystalline Zn5Ga4 at its relaxed geometry.

a b c (Å): 2.7806 7.5722 7.5722
angles (deg): 88.07 79.42 79.42
Element x y z (fractional)
Ga 0.3274 0.6726 0.6726
Ga 0.0000 0.6726 0.3274
Ga 0.6726 0.3274 0.3274
Ga 0.0000 0.3274 0.6726
Zn 0.6656 0.0000 0.6688
Zn 0.3344 0.0000 0.3312
Zn 0.0000 0.0000 0.0000
Zn 0.3344 0.3312 0.0000
Zn 0.6656 0.6688 0.0000

Results
The calculation puts the density of states at the Fermi level at 0.423 states/eV per atom. The electronic total energy comes out at -0.0731 hartree per atom. The energy above the lowest structure with this stoichiometry comes out at 0 meV per atom. The formation energy is 63 meV per atom. As for the volume: 154.1 Å³/cell.

---

Question: Which formula does entry 2 have?
Answer: ZnGa